Record 1
HoZnInTe3 | PBE | optimized geometry

abc: 7.973 7.973 11.479
angles: 90.00 90.00 148.54
Sites, in units of the cell vectors:
Ho 0.000 0.000 0.000
Ho 0.000 0.000 0.500
Zn 0.464 0.536 0.750
Zn 0.536 0.464 0.250
In 0.243 0.757 0.250
In 0.757 0.243 0.750
Te 0.075 0.925 0.750
Te 0.364 0.636 0.560
Te 0.364 0.636 0.940
Te 0.636 0.364 0.060
Te 0.636 0.364 0.440
Te 0.925 0.075 0.250

Results
E ... -3.774 eV per atom
Distance to the lowest polymorph of the same formula ... 1 meV/atom
Symmetry ... Cmcm (63)

Record 2
Hf2Zr4Ga3C3 | PBE | optimized geometry

abc: 5.747 5.747 14.558
angles: 101.39 101.39 60.05
Sites, in units of the cell vectors:
Hf 0.029 0.861 0.586
Hf 0.139 0.971 0.914
Hf 0.861 0.029 0.086
Hf 0.971 0.139 0.414
Zr 0.197 0.364 0.090
Zr 0.305 0.468 0.410
Zr 0.364 0.197 0.590
Zr 0.468 0.305 0.910
Zr 0.532 0.695 0.090
Zr 0.636 0.803 0.410
Zr 0.695 0.532 0.590
Zr 0.803 0.636 0.910
Ga 0.080 0.241 0.750
Ga 0.241 0.080 0.250
Ga 0.402 0.598 0.750
Ga 0.598 0.402 0.250
Ga 0.759 0.920 0.750
Ga 0.920 0.759 0.250
C 0.000 0.500 0.500
C 0.165 0.671 0.000
C 0.329 0.835 0.500
C 0.500 0.000 0.000
C 0.671 0.165 0.500
C 0.835 0.329 0.000

Results
E ... -8.314 eV per atom
Symmetry ... C2/c (15)

Record 3
PaSnPO | PBE | optimized geometry

abc: 3.986 3.986 10.215
angles: 90.00 90.00 90.00
Sites, in units of the cell vectors:
Pa 0.250 0.250 0.132
Pa 0.750 0.750 0.868
Sn 0.250 0.750 0.500
Sn 0.750 0.250 0.500
P 0.250 0.250 0.744
P 0.750 0.750 0.256
O 0.250 0.750 0.000
O 0.750 0.250 0.000

Results
E ... -6.938 eV per atom
Distance to the lowest polymorph of the same formula ... 0 meV/atom
Symmetry ... P4/nmm (129)